YErAl (PBE-GGA, optimized geometry); excess energy over the best structure of this formula in the dataset = 0.071 eV/atom; VASP energy = -5.119 eV per atom; D(E_F) = 1.28 states/eV per atom; ΔE_f = -0.1955 eV per atom; magnetization = 0.66 μB/f.u.
1.0
4.5109 0.0000 0.0000
0.0000 4.5109 0.0000
0.0000 0.0000 8.1014
Y Er Al
2 2 2
Direct
0.2500 0.2500 0.1437 Y
0.7500 0.7500 0.8563 Y
0.2500 0.7500 0.5000 Er
0.7500 0.2500 0.5000 Er
0.2500 0.2500 0.7637 Al
0.7500 0.7500 0.2363 Al



Y2Er3Al2 (PBE-GGA, optimized geometry); excess energy over the best structure of this formula in the dataset = 0.000 eV/atom; VASP energy = -5.090 eV per atom; D(E_F) = 0.55 states/eV per atom; ΔE_f = -0.2182 eV per atom; magnetization = 0.00 μB/f.u.
1.0
2.6245 1.5153 7.7731
-2.6245 1.5153 7.7731
0.0000 -3.0305 7.7731
Y Er Al
2 3 2
Direct
0.0829 0.0829 0.0829 Y
0.9171 0.9171 0.9171 Y
0.3476 0.3476 0.3476 Er
0.5000 0.5000 0.5000 Er
0.6524 0.6524 0.6524 Er
0.2184 0.2184 0.2184 Al
0.7816 0.7816 0.7816 Al



YErAl2 (PBE-GGA, optimized geometry); excess energy over the best structure of this formula in the dataset = 0.003 eV/atom; VASP energy = -5.031 eV per atom; D(E_F) = 0.44 states/eV per atom; ΔE_f = -0.4031 eV per atom; magnetization = 0.00 μB/f.u.
1.0
7.1813 0.0000 0.0000
0.0000 7.1813 0.0000
0.0000 0.0000 7.1813
Y Er Al
4 4 8
Direct
0.0000 0.0000 0.0000 Y
0.0000 0.5000 0.5000 Y
0.5000 0.0000 0.5000 Y
0.5000 0.5000 0.0000 Y
0.0000 0.0000 0.5000 Er
0.0000 0.5000 0.0000 Er
0.5000 0.0000 0.0000 Er
0.5000 0.5000 0.5000 Er
0.2500 0.2500 0.2500 Al
0.2500 0.2500 0.7500 Al
0.2500 0.7500 0.2500 Al
0.2500 0.7500 0.7500 Al
0.7500 0.2500 0.2500 Al
0.7500 0.2500 0.7500 Al
0.7500 0.7500 0.2500 Al
0.7500 0.7500 0.7500 Al



Y2Er2Al3 (PBE-GGA, optimized geometry); excess energy over the best structure of this formula in the dataset = 0.000 eV/atom; VASP energy = -5.040 eV per atom; D(E_F) = 0.82 states/eV per atom; ΔE_f = -0.2853 eV per atom; magnetization = 0.00 μB/f.u.
1.0
3.4004 0.0000 0.0000
0.0000 30.1265 0.0000
0.0000 0.0000 3.4092
Y Er Al
4 4 6
Direct
0.0000 0.0665 0.0000 Y
0.0000 0.9335 0.0000 Y
0.5000 0.4335 0.0000 Y
0.5000 0.5665 0.0000 Y
0.0000 0.1977 0.0000 Er
0.0000 0.8023 0.0000 Er
0.5000 0.3023 0.0000 Er
0.5000 0.6977 0.0000 Er
0.0000 0.3657 0.5000 Al
0.0000 0.5000 0.5000 Al
0.0000 0.6343 0.5000 Al
0.5000 0.0000 0.5000 Al
0.5000 0.1343 0.5000 Al
0.5000 0.8657 0.5000 Al



YEr4Al15 (PBE-GGA, optimized geometry); VASP energy = -4.464 eV per atom; D(E_F) = 0.28 states/eV per atom; ΔE_f = -0.4218 eV per atom; magnetization = 0.00 μB/f.u.
1.0
3.0428 1.7568 11.9198
-3.0428 1.7568 11.9198
0.0000 -3.5135 11.9198
Y Er Al
1 4 15
Direct
0.0000 0.0000 0.0000 Y
0.1309 0.1309 0.1309 Er
0.4001 0.4001 0.4001 Er
0.5999 0.5999 0.5999 Er
0.8691 0.8691 0.8691 Er
0.0000 0.5000 0.5000 Al
0.1176 0.1176 0.5653 Al
0.1176 0.5653 0.1176 Al
0.1305 0.6356 0.6356 Al
0.3644 0.3644 0.8695 Al
0.3644 0.8695 0.3644 Al
0.4347 0.8824 0.8824 Al
0.5000 0.0000 0.5000 Al
0.5000 0.5000 0.0000 Al
0.5653 0.1176 0.1176 Al
0.6356 0.1305 0.6356 Al
0.6356 0.6356 0.1305 Al
0.8695 0.3644 0.3644 Al
0.8824 0.4347 0.8824 Al
0.8824 0.8824 0.4347 Al



YErAl (PBE-GGA, optimized geometry); excess energy over the best structure of this formula in the dataset = 0.231 eV/atom; VASP energy = -4.959 eV per atom; D(E_F) = 1.27 states/eV per atom; ΔE_f = -0.0358 eV per atom; magnetization = 0.35 μB/f.u.
1.0
3.4638 0.0000 0.0000
-1.7319 2.9997 0.0000
0.0000 0.0000 23.6168
Y Er Al
3 3 3
Direct
0.0000 0.0000 0.0000 Y
0.3333 0.6667 0.6667 Y
0.6667 0.3333 0.3333 Y
0.0000 0.0000 0.2074 Er
0.3333 0.6667 0.8741 Er
0.6667 0.3333 0.5408 Er
0.0000 0.0000 0.4374 Al
0.3333 0.6667 0.1040 Al
0.6667 0.3333 0.7707 Al



Repeat the first record exactly.
YErAl (PBE-GGA, optimized geometry); excess energy over the best structure of this formula in the dataset = 0.071 eV/atom; VASP energy = -5.119 eV per atom; D(E_F) = 1.28 states/eV per atom; ΔE_f = -0.1955 eV per atom; magnetization = 0.66 μB/f.u.
1.0
4.5109 0.0000 0.0000
0.0000 4.5109 0.0000
0.0000 0.0000 8.1014
Y Er Al
2 2 2
Direct
0.2500 0.2500 0.1437 Y
0.7500 0.7500 0.8563 Y
0.2500 0.7500 0.5000 Er
0.7500 0.2500 0.5000 Er
0.2500 0.2500 0.7637 Al
0.7500 0.7500 0.2363 Al



Copy entry 1 word for word.
YErAl (PBE-GGA, optimized geometry); excess energy over the best structure of this formula in the dataset = 0.071 eV/atom; VASP energy = -5.119 eV per atom; D(E_F) = 1.28 states/eV per atom; ΔE_f = -0.1955 eV per atom; magnetization = 0.66 μB/f.u.
1.0
4.5109 0.0000 0.0000
0.0000 4.5109 0.0000
0.0000 0.0000 8.1014
Y Er Al
2 2 2
Direct
0.2500 0.2500 0.1437 Y
0.7500 0.7500 0.8563 Y
0.2500 0.7500 0.5000 Er
0.7500 0.2500 0.5000 Er
0.2500 0.2500 0.7637 Al
0.7500 0.7500 0.2363 Al



Q: Look up the ΔE_f of the third one.
A: -0.4031 eV per atom